Record 1
A relaxed PuZn17Ga crystal. Source: Alexandria via LeMat-Bulk, functional PBE.

Cell: 6.8363 6.8363 6.8363 Å, 81.65 81.65 81.65°
Last column: nearest neighbours and their distance in Å.
Atoms (fractional coordinates):
Zn: 0.1603 0.6511 0.6511  9 Zn 2.57-2.83, 1 Ga 2.79
Zn: 0.8487 0.3462 0.3462  9 Zn 2.59-2.81
Zn: 0.6511 0.1603 0.6511  9 Zn 2.57-2.83, 1 Ga 2.79
Zn: 0.0058 0.2991 0.6814  8 Zn 2.61-2.90
Zn: 0.6814 0.0058 0.2991  8 Zn 2.61-2.90
Zn: 0.4987 0.9838 0.9838  10 Zn 2.57-2.77
Zn: 0.3462 0.8487 0.3462  9 Zn 2.59-2.81
Zn: 0.0975 0.0975 0.0975  7 Zn 2.67-2.80
Zn: 0.0058 0.6814 0.2991  8 Zn 2.61-2.90
Zn: 0.2991 0.6814 0.0058  8 Zn 2.61-2.90
Zn: 0.9838 0.9838 0.4987  10 Zn 2.57-2.77
Zn: 0.6814 0.2991 0.0058  8 Zn 2.61-2.90
Zn: 0.8992 0.8992 0.8992  7 Zn 2.67-2.83
Zn: 0.9838 0.4987 0.9838  10 Zn 2.57-2.77
Ga: 0.4008 0.4008 0.4008  6 Zn 2.79-3.01
Pu: 0.6602 0.6602 0.6602  19 Zn 3.16-3.44, 1 Ga 3.49
Zn: 0.2991 0.0058 0.6814  8 Zn 2.61-2.90
Zn: 0.6511 0.6511 0.1603  9 Zn 2.57-2.83, 1 Ga 2.79
Zn: 0.3462 0.3462 0.8487  9 Zn 2.59-2.81

Calculated values
* M_tot: 5.6 μB per formula unit
* VASP energy: -2.0996 eV/atom
* SG: R3m (160)

Record 2
A relaxed Pu3Zn3Ga2 crystal. Source: Alexandria via LeMat-Bulk, functional PBE.

Cell: 4.5822 4.2247 8.4765 Å, 104.39 105.68 90.00°
Last column: nearest neighbours and their distance in Å.
Atoms (fractional coordinates):
Pu: 0.0000 0.0000 0.0000  4 Pu 2.82, 8 Zn 3.12-3.15
Ga: 0.7475 0.7476 0.4950  4 Zn 2.74-2.93, 4 Pu 2.99-3.06
Pu: 0.8814 0.3809 0.7627  2 Pu 2.82, 6 Zn 2.96-3.13, 4 Ga 2.99-3.06
Zn: 0.6371 0.1375 0.2742  4 Ga 2.74-2.93, 2 Zn 3.02
Ga: 0.2525 0.2524 0.5050  4 Zn 2.74-2.93, 4 Pu 2.99-3.06
Zn: 0.5000 0.5000 0.0000  8 Pu 2.96-3.12, 4 Zn 3.02
Zn: 0.3629 0.8625 0.7258  4 Ga 2.74-2.93, 2 Zn 3.02
Pu: 0.1186 0.6191 0.2373  2 Pu 2.82, 6 Zn 2.96-3.13, 4 Ga 2.99-3.06

Calculated values
* M_tot: 5.8 μB per formula unit
* VASP energy: -6.7053 eV/atom
* SG: Immm (71)

Record 3
A relaxed PuZn2Ga crystal. Source: Alexandria via LeMat-Bulk, functional PBE.

Cell: 2.6800 2.6800 11.5405 Å, 83.33 83.33 60.00°
Last column: nearest neighbours and their distance in Å.
Atoms (fractional coordinates):
Ga: 0.5000 0.5000 0.5000  6 Ga 2.68
Zn: 0.0903 0.0903 0.7290  6 Zn 2.68
Pu: 0.0000 0.0000 0.0000  6 Pu 2.68
Zn: 0.9097 0.9097 0.2710  6 Zn 2.68

Calculated values
* M_tot: 2.6 μB per formula unit
* VASP energy: -4.6938 eV/atom
* SG: R-3m (166)

Record 4
A relaxed PuZn9Ga2 crystal. Source: Alexandria via LeMat-Bulk, functional PBE.

Cell: 7.0890 8.2755 8.2755 Å, 79.43 64.64 64.64°
Last column: nearest neighbours and their distance in Å.
Atoms (fractional coordinates):
Zn: 0.1602 0.4160 0.1745  5 Zn 2.55-2.71, 2 Ga 2.62-2.71
Ga: 0.8750 0.7500 0.2500  10 Zn 2.62-2.79
Zn: 0.5898 0.0840 0.3255  5 Zn 2.55-2.71, 2 Ga 2.62-2.71
Zn: 0.4238 0.4160 0.8255  5 Zn 2.55-2.71, 2 Ga 2.62-2.71
Zn: 0.9992 0.6745 0.9160  5 Zn 2.55-2.71, 2 Ga 2.62-2.71
Ga: 0.3750 0.7500 0.7500  10 Zn 2.62-2.79
Zn: 0.0847 0.9160 0.3255  5 Zn 2.55-2.71, 2 Ga 2.62-2.71
Zn: 0.7500 0.5000 0.5000  4 Ga 2.79, 8 Zn 2.90
Zn: 0.6653 0.5840 0.1745  5 Zn 2.55-2.71, 2 Ga 2.62-2.71
Zn: 0.4238 0.8255 0.4160  5 Zn 2.55-2.71, 2 Ga 2.62-2.71
Pu: 0.5000 0.0000 0.0000  18 Zn 3.27-3.54
Ga: 0.8750 0.2500 0.2500  10 Zn 2.62-2.79
Zn: 0.3262 0.6745 0.0840  5 Zn 2.55-2.71, 2 Ga 2.62-2.71
Zn: 0.9992 0.9160 0.6745  5 Zn 2.55-2.71, 2 Ga 2.62-2.71
Zn: 0.5898 0.3255 0.0840  5 Zn 2.55-2.71, 2 Ga 2.62-2.71
Zn: 0.6653 0.1745 0.5840  5 Zn 2.55-2.71, 2 Ga 2.62-2.71
Pu: 0.2500 0.5000 0.5000  18 Zn 3.27-3.54
Zn: 0.7508 0.5840 0.8255  5 Zn 2.55-2.71, 2 Ga 2.62-2.71
Zn: 0.1602 0.1745 0.4160  5 Zn 2.55-2.71, 2 Ga 2.62-2.71
Zn: 0.0000 0.0000 0.0000  4 Ga 2.79, 8 Zn 2.90
Zn: 0.3262 0.0840 0.6745  5 Zn 2.55-2.71, 2 Ga 2.62-2.71
Zn: 0.7508 0.8255 0.5840  5 Zn 2.55-2.71, 2 Ga 2.62-2.71
Ga: 0.8750 0.2500 0.7500  10 Zn 2.62-2.79
Zn: 0.0847 0.3255 0.9160  5 Zn 2.55-2.71, 2 Ga 2.62-2.71

Calculated values
* M_tot: 5.6 μB per formula unit
* VASP energy: -2.7408 eV/atom
* SG: I4_1/amd (141)